Record 1
Density functional theory data (PBE-GGA) for an optimized crystal structure of K2PtI.

Values from the calculation:
Mass density = 3.3 g/cm³
Fermi-level density of states = 2.0 states/eV per cell

Cell: 12.004 12.004 8.945 Å, 47.86 47.86 90.00°
Atoms (fractional coordinates):
I (0.250, 0.750, 0.500)
I (0.500, 0.500, 0.000)
K (0.375, 0.157, 0.750)
K (0.907, 0.625, 0.250)
K (0.843, 0.125, 0.250)
K (0.875, 0.093, 0.750)
Pt (0.750, 0.250, 0.500)
Pt (0.000, 0.000, 0.000)

Record 2
Density functional theory data (PBE-GGA) for an optimized crystal structure of KPtI.

Values from the calculation:
Mass density = 5.9 g/cm³
Fermi-level density of states = 0.0 states/eV per cell

Cell: 5.660 9.816 6.755 Å, 43.40 65.23 90.00°
Atoms (fractional coordinates):
K (0.000, 0.000, 0.000)
K (0.000, 0.500, 0.000)
Pt (0.000, 0.000, 0.500)
Pt (0.500, 0.000, 0.500)
I (0.452, 0.702, 0.097)
I (0.548, 0.298, 0.903)

Record 3
Density functional theory data (PBE-GGA) for an optimized crystal structure of KPtI.

Values from the calculation:
Mass density = 6.0 g/cm³
Fermi-level density of states = 0.0 states/eV per cell

Cell: 15.744 6.456 6.456 Å, 144.20 144.26 35.74°
Atoms (fractional coordinates):
Pt (0.225, 0.521, 0.479)
Pt (0.029, 0.287, 0.713)
K (0.243, 0.761, 0.239)
K (0.826, 0.828, 0.172)
I (0.839, 0.082, 0.918)
I (0.452, 0.773, 0.227)

Record 4
Density functional theory data (PBE-GGA) for an optimized crystal structure of KPtI.

Values from the calculation:
Mass density = 5.9 g/cm³
Fermi-level density of states = 0.0 states/eV per cell

Cell: 9.263 5.540 3.966 Å, 90.00 89.55 90.00°
Atoms (fractional coordinates):
I (0.681, 0.500, 0.628)
I (0.274, 0.500, 0.116)
K (0.946, 0.000, 0.624)
K (0.515, 0.000, 0.138)
Pt (0.889, 0.500, 0.124)
Pt (0.081, 0.500, 0.620)

Record 5
Density functional theory data (PBE-GGA) for an optimized crystal structure of KPtI.

Values from the calculation:
Mass density = 5.9 g/cm³
Fermi-level density of states = 0.0 states/eV per cell

Cell: 14.233 5.969 5.969 Å, 140.99 136.67 43.33°
Atoms (fractional coordinates):
Pt (0.404, 0.329, 0.671)
Pt (0.596, 0.671, 0.329)
I (0.798, 0.990, 0.010)
I (0.202, 0.010, 0.990)
K (0.500, 0.500, 0.500)
K (0.000, 0.500, 0.500)

Record 6
Density functional theory data (PBE-GGA) for an optimized crystal structure of KRb2PtI.

Values from the calculation:
Mass density = 3.6 g/cm³

Cell: 6.367 6.367 6.102 Å, 90.00 90.00 90.00°
Atoms (fractional coordinates):
Rb (0.500, 0.000, 0.000)
Rb (0.000, 0.500, 0.000)
K (0.000, 0.000, 0.500)
I (0.500, 0.500, 0.500)
Pt (0.000, 0.000, 0.000)

Record 7
Density functional theory data (PBE-GGA) for an optimized crystal structure of KSbPtI2.

Values from the calculation:
Mass density = 3.9 g/cm³
Fermi-level density of states = 7.7 states/eV per cell

Cell: 6.250 6.250 6.714 Å, 90.00 90.00 90.00°
Atoms (fractional coordinates):
K (0.000, 0.000, 0.000)
I (0.500, 0.000, 0.000)
I (0.000, 0.500, 0.000)
Pt (0.500, 0.500, 0.500)
Sb (0.000, 0.000, 0.500)

Record 8
Density functional theory data (PBE-GGA) for an optimized crystal structure of KSbPtI2.

Values from the calculation:
Mass density = 5.6 g/cm³
Fermi-level density of states = 3.1 states/eV per cell

Cell: 5.943 5.943 5.082 Å, 90.00 90.00 90.00°
Atoms (fractional coordinates):
I (0.000, 0.500, 0.000)
I (0.500, 0.000, 0.000)
Pt (0.000, 0.000, 0.000)
Sb (0.000, 0.000, 0.500)
K (0.500, 0.500, 0.500)

Record 9
Density functional theory data (PBE-GGA) for an optimized crystal structure of K2SbPtI.

Values from the calculation:
Mass density = 4.1 g/cm³
Fermi-level density of states = 1.6 states/eV per cell

Cell: 6.395 5.132 6.395 Å, 90.00 90.00 90.00°
Atoms (fractional coordinates):
Pt (0.000, 0.000, 0.000)
K (0.000, 0.000, 0.500)
K (0.500, 0.000, 0.000)
Sb (0.500, 0.500, 0.500)
I (0.000, 0.500, 0.000)

Record 10
Density functional theory data (PBE-GGA) for an optimized crystal structure of K2ScPtI.

Values from the calculation:
Mass density = 3.4 g/cm³
Fermi-level density of states = 13.8 states/eV per cell

Cell: 6.449 5.258 6.449 Å, 90.00 90.00 90.00°
Atoms (fractional coordinates):
Pt (0.000, 0.500, 0.000)
K (0.000, 0.000, 0.500)
K (0.500, 0.000, 0.000)
Sc (0.500, 0.500, 0.500)
I (0.000, 0.000, 0.000)

Record 11
Density functional theory data (PBE-GGA) for an optimized crystal structure of KTaPtI2.

Values from the calculation:
Mass density = 5.1 g/cm³
Fermi-level density of states = 9.7 states/eV per cell

Cell: 5.981 6.089 5.981 Å, 90.00 90.00 90.00°
Atoms (fractional coordinates):
Ta (0.000, 0.500, 0.000)
I (0.500, 0.000, 0.000)
I (0.000, 0.000, 0.500)
K (0.000, 0.000, 0.000)
Pt (0.500, 0.500, 0.500)

Record 12
Density functional theory data (PBE-GGA) for an optimized crystal structure of KTePt2I.

Values from the calculation:
Mass density = 6.8 g/cm³
Fermi-level density of states = 5.5 states/eV per cell

Cell: 5.021 6.596 5.021 Å, 90.00 90.00 90.00°
Atoms (fractional coordinates):
I (0.000, 0.500, 0.000)
Pt (0.500, 0.000, 0.000)
Pt (0.000, 0.000, 0.500)
Te (0.000, 0.000, 0.000)
K (0.500, 0.500, 0.500)

Record 13
Density functional theory data (PBE-GGA) for an optimized crystal structure of KTe2PtI.

Values from the calculation:
Mass density = 6.0 g/cm³
Fermi-level density of states = 8.0 states/eV per cell

Cell: 5.390 5.390 5.834 Å, 90.00 90.00 90.00°
Atoms (fractional coordinates):
Pt (0.000, 0.000, 0.000)
Te (0.000, 0.500, 0.000)
Te (0.500, 0.000, 0.000)
I (0.000, 0.000, 0.500)
K (0.500, 0.500, 0.500)

Record 14
Density functional theory data (PBE-GGA) for an optimized crystal structure of KTe2PtI.

Values from the calculation:
Mass density = 4.2 g/cm³
Fermi-level density of states = 10.1 states/eV per cell

Cell: 6.318 6.318 6.156 Å, 90.00 90.00 90.00°
Atoms (fractional coordinates):
Pt (0.500, 0.500, 0.500)
Te (0.000, 0.500, 0.000)
Te (0.500, 0.000, 0.000)
I (0.000, 0.000, 0.500)
K (0.000, 0.000, 0.000)

Record 15
Density functional theory data (PBE-GGA) for an optimized crystal structure of K2TlPtI6.

Values from the calculation:
Mass density = 4.5 g/cm³
Fermi-level density of states = 9.5 states/eV per cell

Cell: 7.985 7.985 17.306 Å, 76.66 76.66 60.00°
Atoms (fractional coordinates):
I (0.806, 0.292, 0.096)
I (0.292, 0.806, 0.096)
I (0.367, 0.863, 0.404)
I (0.194, 0.194, 0.904)
I (0.633, 0.633, 0.596)
I (0.633, 0.137, 0.596)
I (0.863, 0.367, 0.404)
I (0.194, 0.708, 0.904)
I (0.708, 0.194, 0.904)
I (0.137, 0.633, 0.596)
I (0.806, 0.806, 0.096)
I (0.367, 0.367, 0.404)
Pt (0.000, 0.000, 0.000)
Pt (0.500, 0.500, 0.500)
K (0.689, 0.689, 0.933)
K (0.142, 0.142, 0.573)
K (0.311, 0.311, 0.067)
K (0.858, 0.858, 0.427)
Tl (0.582, 0.582, 0.255)
Tl (0.418, 0.418, 0.745)

Record 16
Density functional theory data (PBE-GGA) for an optimized crystal structure of KTl2PtI.

Values from the calculation:
Mass density = 7.1 g/cm³
Fermi-level density of states = 0.8 states/eV per cell

Cell: 5.324 5.324 6.385 Å, 90.00 90.00 90.00°
Atoms (fractional coordinates):
Pt (0.000, 0.000, 0.000)
I (0.500, 0.500, 0.500)
Tl (0.500, 0.000, 0.000)
Tl (0.000, 0.500, 0.000)
K (0.000, 0.000, 0.500)

Record 17
Density functional theory data (PBE-GGA) for an optimized crystal structure of KPt2WI.

Values from the calculation:
Mass density = 8.1 g/cm³
Fermi-level density of states = 3.6 states/eV per cell

Cell: 5.098 5.855 5.098 Å, 90.00 90.00 90.00°
Atoms (fractional coordinates):
Pt (0.000, 0.000, 0.500)
Pt (0.500, 0.000, 0.000)
W (0.500, 0.500, 0.500)
I (0.000, 0.000, 0.000)
K (0.000, 0.500, 0.000)

Record 18
Density functional theory data (PBE-GGA) for an optimized crystal structure of KYPtI2.

Values from the calculation:
Mass density = 5.4 g/cm³
Fermi-level density of states = 4.7 states/eV per cell

Cell: 5.593 5.656 5.593 Å, 90.00 90.00 90.00°
Atoms (fractional coordinates):
I (0.500, 0.000, 0.000)
I (0.000, 0.000, 0.500)
K (0.000, 0.500, 0.000)
Y (0.500, 0.500, 0.500)
Pt (0.000, 0.000, 0.000)

Record 19
Density functional theory data (PBE-GGA) for an optimized crystal structure of KPu4I8.

Values from the calculation:
Mass density = 5.9 g/cm³
Fermi-level density of states = 35.6 states/eV per cell

Cell: 8.510 8.510 10.291 Å, 90.00 114.42 120.00°
Atoms (fractional coordinates):
I (0.984, 0.744, 0.224)
I (0.984, 0.240, 0.224)
I (0.016, 0.256, 0.776)
I (0.480, 0.240, 0.224)
I (0.481, 0.741, 0.222)
I (0.519, 0.259, 0.778)
I (0.520, 0.760, 0.776)
I (0.016, 0.760, 0.776)
Pu (0.000, 0.000, 0.000)
Pu (0.000, 0.500, 0.000)
Pu (0.500, 0.500, 0.000)
Pu (0.500, 0.000, 0.000)
K (0.000, 0.500, 0.500)

Record 20
Density functional theory data (PBE-GGA) for an optimized crystal structure of K2Pu3I8.

Values from the calculation:
Mass density = 5.0 g/cm³
Fermi-level density of states = 43.0 states/eV per cell

Cell: 7.779 9.588 9.588 Å, 58.73 88.56 88.56°
Atoms (fractional coordinates):
I (0.880, 0.387, 0.387)
I (0.159, 0.111, 0.111)
I (0.661, 0.347, 0.878)
I (0.841, 0.889, 0.889)
I (0.120, 0.613, 0.613)
I (0.661, 0.878, 0.347)
I (0.339, 0.653, 0.122)
I (0.339, 0.122, 0.653)
Pu (0.000, 0.753, 0.247)
Pu (0.500, 0.000, 0.000)
Pu (0.000, 0.247, 0.753)
K (0.479, 0.732, 0.732)
K (0.521, 0.268, 0.268)

The records above give, respectively, E_tot values of -2.8015 -3.4032 -3.4302 -3.4005 -3.4159 -2.6400 -1.7308 -3.1952 -2.7865 -2.7798 -2.3759 -3.5781 -3.2629 -1.6875 -2.6871 -3.1591 -3.7488 -3.1866 -6.5019 -5.5800 eV/atom.